DFT (PBE with a Hubbard U) results for a relaxed structure of Na2GaNiF6.

a b c (Å): 5.5250 5.7478 8.9759
angles (deg): 90.00 90.00 90.00
Element x y z (fractional)
F 0.2481 0.9559 0.5000
F 0.2413 0.4126 0.5000
F 0.0000 0.8184 0.2110
F 0.7481 0.0441 0.0000
F 0.2519 0.0441 0.0000
F 0.0000 0.8184 0.7890
F 0.5000 0.1816 0.7110
F 0.7413 0.5874 0.0000
F 0.7519 0.9559 0.5000
F 0.2587 0.5874 0.0000
F 0.7587 0.4126 0.5000
F 0.5000 0.1816 0.2890
Ni 0.0000 0.6859 0.5000
Ni 0.5000 0.3141 0.0000
Na 0.0000 0.1844 0.6888
Na 0.0000 0.1844 0.3112
Na 0.5000 0.8156 0.8112
Na 0.5000 0.8156 0.1888
Ga 0.5000 0.1893 0.5000
Ga 0.0000 0.8107 0.0000

The uncorrected energy is -4.28 eV/atom. For the magnetization, the calculation gives 1.0 μB per formula unit. Its symmetry is Pmmn (59).